Entry 1:
# PBE PaSbPdPt, optimized geometry
data_PaSbPdPt
_symmetry_space_group_name_H-M 'F -4 3 m'
_symmetry_Int_Tables_number 216
_symmetry_space_group_name_Hall 'F -4 2 3'
_cell_length_a 6.892
_cell_length_b 6.892
_cell_length_c 6.892
_cell_angle_alpha 90.00
_cell_angle_beta 90.00
_cell_angle_gamma 90.00
loop_
_atom_site_label
_atom_site_fract_x
_atom_site_fract_y
_atom_site_fract_z
Pa1 0.000 0.000 0.000
Sb1 0.000 0.000 0.500
Pd1 0.250 0.250 0.750
Pt1 0.250 0.250 0.250
# - ρ (Mg/m³) = 13.3
# - formation energy (no corrections) (eV/atom) = -0.700
# - N(E_F) (states/eV/cell) = 5.2
# - calculated total energy (eV per atom) = -6.91

---

Entry 2:
# PBE Sm2Zn5NiRh2, optimized geometry
data_Sm2Zn5NiRh2
_symmetry_space_group_name_H-M 'P 4/m b m'
_symmetry_Int_Tables_number 127
_symmetry_space_group_name_Hall '-P 4 2ab'
_cell_length_a 9.913
_cell_length_b 9.913
_cell_length_c 3.568
_cell_angle_alpha 90.00
_cell_angle_beta 90.00
_cell_angle_gamma 90.00
loop_
_atom_site_label
_atom_site_fract_x
_atom_site_fract_y
_atom_site_fract_z
Sm1 0.179 0.321 0.000
Zn1 0.000 0.500 0.500
Zn2 0.052 0.816 0.500
Ni1 0.000 0.000 0.000
Rh1 0.127 0.627 0.000
# - ρ (Mg/m³) = 8.5
# - formation energy (eV/atom) = -0.3672
# - N(E_F) (states/eV/cell) = 10.3
# - calculated total energy (eV per atom) = -4.00

---

Entry 3:
# PBE ZnSn2CI, optimized geometry
data_ZnSn2CI
_symmetry_space_group_name_H-M 'P 4/m m m'
_symmetry_Int_Tables_number 123
_symmetry_space_group_name_Hall '-P 4 2'
_cell_length_a 5.940
_cell_length_b 5.940
_cell_length_c 4.203
_cell_angle_alpha 90.00
_cell_angle_beta 90.00
_cell_angle_gamma 90.00
loop_
_atom_site_label
_atom_site_fract_x
_atom_site_fract_y
_atom_site_fract_z
Zn1 0.000 0.000 0.000
Sn1 0.000 0.500 0.500
C1 0.500 0.500 0.000
I1 0.500 0.500 0.500
# - ρ (Mg/m³) = 4.9
# - formation energy (no corrections) (eV/atom) = 1.679
# - N(E_F) (states/eV/cell) = 3.6
# - calculated total energy (eV per atom) = -2.33

---

Entry 4:
# PBE NaAsSe2Br, optimized geometry
data_NaAsSe2Br
_symmetry_space_group_name_H-M 'P 4/m m m'
_symmetry_Int_Tables_number 123
_symmetry_space_group_name_Hall '-P 4 2'
_cell_length_a 5.190
_cell_length_b 5.190
_cell_length_c 5.069
_cell_angle_alpha 90.00
_cell_angle_beta 90.00
_cell_angle_gamma 90.00
loop_
_atom_site_label
_atom_site_fract_x
_atom_site_fract_y
_atom_site_fract_z
Na1 0.000 0.000 0.000
As1 0.500 0.500 0.500
Se1 0.000 0.500 0.000
Br1 0.000 0.000 0.500
# - ρ (Mg/m³) = 4.1
# - formation energy (no corrections) (eV/atom) = 0.674
# - N(E_F) (states/eV/cell) = 7.3
# - calculated total energy (eV per atom) = -2.25